Record 1
Crystalline VHN at its relaxed geometry. Source: Alexandria via LeMat-Bulk, functional GGA-PBE.

Summary:
SG	P-6m2 (187)
E above lowest polymorph	0.083	eV per formula unit
VASP energy	-0.5326	Ry per atom
calculated volume	6.6	A^3/atom

Unit cell a=2.7154 b=2.9051 c=2.9051 alpha=120.00 beta=90.00 gamma=90.00
With the nearest neighbours (Å) after each atom.
Atoms (fractional coordinates):
V 0.4998 0.6667 0.3333  3 H 1.68
N 0.9999 0.0000 0.0000  6 H 2.16, 6 V 2.16
H 0.5003 0.3333 0.6667  3 V 1.68

Record 2
Crystalline V6H5N at its relaxed geometry. Source: Alexandria via LeMat-Bulk, functional GGA-PBE.

Summary:
SG	C2/m (12)
VASP energy	-0.5185	Ry per atom
calculated volume	7.9	A^3/atom

Unit cell a=4.8896 b=4.8575 c=4.8821 alpha=60.17 beta=80.13 gamma=69.85
With the nearest neighbours (Å) after each atom.
Atoms (fractional coordinates):
H 0.0000 0.6667 0.6665  6 V 1.97-1.99
H 0.5000 0.1673 0.6653  6 V 1.98-2.01
H 0.0000 0.3333 0.3335  6 V 1.97-1.99
H 0.5000 0.5000 0.0000  6 V 1.99-2.00
H 0.5000 0.8327 0.3347  6 V 1.98-2.01
V 0.2466 0.9177 0.6660  5 H 1.97-2.01, 1 N 1.98
V 0.2466 0.5837 0.3340  5 H 1.97-2.01, 1 N 1.98
V 0.2515 0.2484 0.0000  5 H 1.98-2.00, 1 N 2.00
V 0.7534 0.4163 0.6660  5 H 1.97-2.01, 1 N 1.98
V 0.7485 0.7516 0.0000  5 H 1.98-2.00, 1 N 2.00
V 0.7534 0.0823 0.3340  5 H 1.97-2.01, 1 N 1.98
N 0.0000 0.0000 0.0000  6 V 1.98-2.00

Record 3
Crystalline VHN at its relaxed geometry. Source: Alexandria via LeMat-Bulk, functional GGA-PBE.

Summary:
SG	P4/nmm (129)
E above lowest polymorph	0.000	eV per formula unit
VASP energy	-0.5346	Ry per atom
calculated volume	9.2	A^3/atom

Unit cell a=3.4492 b=3.4492 c=4.6328 alpha=90.00 beta=90.00 gamma=90.00
With the nearest neighbours (Å) after each atom.
Atoms (fractional coordinates):
V 0.0000 0.0000 0.5000  4 N 2.05
V 0.5000 0.5000 0.5000  4 N 2.05
N 0.5000 0.0000 0.7408  1 H 1.04
N 0.0000 0.5000 0.2592  1 H 1.04
H 0.0000 0.5000 0.0346  1 N 1.04
H 0.5000 0.0000 0.9654  1 N 1.04

Record 4
Crystalline YVH2N at its relaxed geometry. Source: Alexandria via LeMat-Bulk, functional GGA-PBE.

Summary:
SG	P4/mmm (123)
E above lowest polymorph	8.777	eV per formula unit
VASP energy	-0.3762	Ry per atom
calculated volume	15.6	A^3/atom

Unit cell a=3.5411 b=6.2332 c=3.5411 alpha=90.00 beta=90.00 gamma=90.00
With the nearest neighbours (Å) after each atom.
Atoms (fractional coordinates):
V 0.0000 0.5000 0.0000  4 N 2.50
Y 0.0000 0.0000 0.0000  4 H 1.77
N 0.5000 0.5000 0.5000  4 V 2.50
H 0.0000 0.0000 0.5000  2 Y 1.77
H 0.5000 0.0000 0.0000  2 Y 1.77

Record 5
Crystalline YVH2N at its relaxed geometry. Source: Alexandria via LeMat-Bulk, functional GGA-PBE.

Summary:
SG	P4/mmm (123)
E above lowest polymorph	0.000	eV per formula unit
VASP energy	-0.5052	Ry per atom
calculated volume	9.9	A^3/atom

Unit cell a=3.5574 b=3.5574 c=3.9265 alpha=90.00 beta=90.00 gamma=90.00
With the nearest neighbours (Å) after each atom.
Atoms (fractional coordinates):
Y 0.5000 0.5000 0.5000  4 N 2.52, 8 H 2.65
V 0.0000 0.0000 0.0000  4 H 1.78, 2 N 1.96
H 0.0000 0.5000 0.0000  2 V 1.78
H 0.5000 0.0000 0.0000  2 V 1.78
N 0.0000 0.0000 0.5000  2 V 1.96

Record 6
Crystalline V6Zn2HN at its relaxed geometry. Source: Alexandria via LeMat-Bulk, functional GGA-PBE.

Summary:
SG	I4/mmm (139)
VASP energy	-0.5309	Ry per atom
calculated volume	11.7	A^3/atom

Unit cell a=5.4894 b=5.4894 c=5.4832 alpha=59.96 beta=59.96 gamma=90.00
With the nearest neighbours (Å) after each atom.
Atoms (fractional coordinates):
H 0.5000 0.5000 0.0000  6 V 1.88
V 0.7425 0.7425 0.5152  1 H 1.88, 1 N 2.00
V 0.2575 0.2575 0.4848  1 H 1.88, 1 N 2.00
V 0.7424 0.2575 0.0000  1 H 1.88, 1 N 2.00
V 0.7425 0.7425 0.9999  1 H 1.88, 1 N 2.00
V 0.2576 0.7425 0.0000  1 H 1.88, 1 N 2.00
V 0.2575 0.2575 0.0001  1 H 1.88, 1 N 2.00
Zn 0.7500 0.2501 0.5000  12 V 2.74-2.75
Zn 0.2500 0.7500 0.5000  12 V 2.74-2.75
N 0.0000 0.0000 0.0000  6 V 2.00

Record 7
Crystalline ZrV2HN at its relaxed geometry. Source: Alexandria via LeMat-Bulk, functional GGA-PBE.

Summary:
SG	P4/mmm (123)
VASP energy	-0.5583	Ry per atom
calculated volume	13.7	A^3/atom

Unit cell a=3.7407 b=4.8853 c=3.7407 alpha=90.00 beta=90.00 gamma=90.00
With the nearest neighbours (Å) after each atom.
Atoms (fractional coordinates):
V 0.5000 0.0000 0.0000  2 N 1.87
V 0.0000 0.0000 0.5000  2 N 1.87
Zr 0.5000 0.5000 0.5000  4 H 2.65
N 0.0000 0.0000 0.0000  4 V 1.87
H 0.0000 0.5000 0.0000  2 N 2.44, 4 Zr 2.65

Record 8
Crystalline H2WN at its relaxed geometry. Source: Alexandria via LeMat-Bulk, functional GGA-PBE.

Summary:
SG	Fm-3m (225)
VASP energy	-0.4304	Ry per atom
calculated volume	6.6	A^3/atom

Unit cell a=3.3471 b=3.3471 c=3.3471 alpha=60.00 beta=60.00 gamma=60.00
With the nearest neighbours (Å) after each atom.
Atoms (fractional coordinates):
W 0.5000 0.5000 0.5000  8 H 2.05
H 0.7500 0.7500 0.7500  4 W 2.05, 4 N 2.05
H 0.2500 0.2500 0.2500  4 W 2.05, 4 N 2.05
N 0.0000 0.0000 0.0000  8 H 2.05

Record 9
Crystalline HWN3 at its relaxed geometry. Source: Alexandria via LeMat-Bulk, functional GGA-PBE.

Summary:
SG	Pm-3m (221)
VASP energy	-0.5148	Ry per atom
calculated volume	12.4	A^3/atom

Unit cell a=3.9581 b=3.9581 c=3.9581 alpha=90.00 beta=90.00 gamma=90.00
With the nearest neighbours (Å) after each atom.
Atoms (fractional coordinates):
N 0.0000 0.0000 0.5000  2 W 1.98
N 0.0000 0.5000 0.0000  2 W 1.98
N 0.5000 0.0000 0.0000  2 W 1.98
H 0.5000 0.5000 0.5000  12 N 2.80
W 0.0000 0.0000 0.0000  6 N 1.98

Record 10
Crystalline H2WN at its relaxed geometry. Source: Alexandria via LeMat-Bulk, functional GGA-PBE.

Summary:
SG	I4_1/amd (141)
VASP energy	-0.4304	Ry per atom
calculated volume	7.5	A^3/atom

Unit cell a=4.1568 b=4.1568 c=4.5354 alpha=62.72 beta=62.72 gamma=90.00
With the nearest neighbours (Å) after each atom.
Atoms (fractional coordinates):
N 0.2500 0.7500 0.5000  4 H 1.35
N 0.5000 0.5000 0.0000  4 H 1.35
H 0.8750 0.6249 0.7500  2 N 1.35
H 0.3749 0.1250 0.2500  2 N 1.35
H 0.3751 0.6250 0.2500  2 N 1.35
H 0.3750 0.6251 0.7500  2 N 1.35
W 0.7500 0.2500 0.5000  8 H 2.48, 4 N 2.70, 4 W 2.70
W 0.0000 0.0000 0.0000  8 H 2.48, 4 W 2.70, 4 N 2.70

Record 11
Crystalline HWN at its relaxed geometry. Source: Alexandria via LeMat-Bulk, functional GGA-PBE.

Summary:
SG	P2_1/m (11)
VASP energy	-0.6044	Ry per atom
calculated volume	9.1	A^3/atom

Unit cell a=2.8767 b=3.9402 c=9.6499 alpha=88.78 beta=90.00 gamma=90.00
With the nearest neighbours (Å) after each atom.
Atoms (fractional coordinates):
W 0.2500 0.2661 0.8850  3 H 1.90-1.92, 2 N 2.05-2.10
W 0.7500 0.7339 0.1150  3 H 1.90-1.92, 2 N 2.05-2.10
W 0.7500 0.2339 0.6150  3 H 1.90-1.92, 2 N 2.05-2.10
W 0.2500 0.7661 0.3850  3 H 1.90-1.92, 2 N 2.05-2.10
H 0.7500 0.9767 0.2836  3 W 1.90-1.92
H 0.2500 0.5233 0.2164  3 W 1.90-1.92
H 0.2500 0.0233 0.7164  3 W 1.90-1.92
H 0.7500 0.4767 0.7836  3 W 1.90-1.92
N 0.7500 0.7439 0.5483  4 W 2.05-2.13
N 0.2500 0.2561 0.4517  4 W 2.05-2.13
N 0.2500 0.7561 0.9517  4 W 2.05-2.13
N 0.7500 0.2439 0.0483  4 W 2.05-2.13

Record 12
Crystalline HW3N at its relaxed geometry. Source: Alexandria via LeMat-Bulk, functional GGA-PBE.

Summary:
SG	Pm-3m (221)
E above lowest polymorph	0.000	eV per formula unit
VASP energy	-0.6758	Ry per atom
calculated volume	13.4	A^3/atom

Unit cell a=4.0637 b=4.0637 c=4.0637 alpha=90.00 beta=90.00 gamma=90.00
With the nearest neighbours (Å) after each atom.
Atoms (fractional coordinates):
H 0.5000 0.5000 0.5000  12 W 2.87
W 0.5000 0.0000 0.0000  2 N 2.03
W 0.0000 0.5000 0.0000  2 N 2.03
W 0.0000 0.0000 0.5000  2 N 2.03
N 0.0000 0.0000 0.0000  6 W 2.03

Record 13
Crystalline HWN3 at its relaxed geometry. Source: Alexandria via LeMat-Bulk, functional GGA-PBE.

Summary:
SG	Pm-3m (221)
VASP energy	-0.4762	Ry per atom
calculated volume	7.1	A^3/atom

Unit cell a=3.2799 b=3.2799 c=3.2799 alpha=90.00 beta=90.00 gamma=90.00
With the nearest neighbours (Å) after each atom.
Atoms (fractional coordinates):
N 0.0000 0.5000 0.0000  2 H 1.64
N 0.5000 0.0000 0.0000  2 H 1.64
N 0.0000 0.0000 0.5000  2 H 1.64
W 0.5000 0.5000 0.5000  12 N 2.32
H 0.0000 0.0000 0.0000  6 N 1.64

Record 14
Crystalline Zr2HWN at its relaxed geometry. Source: Alexandria via LeMat-Bulk, functional GGA-PBE.

Summary:
SG	P4/mmm (123)
VASP energy	-0.6004	Ry per atom
calculated volume	14.0	A^3/atom

Unit cell a=4.6872 b=3.1839 c=4.6872 alpha=90.00 beta=90.00 gamma=90.00
With the nearest neighbours (Å) after each atom.
Atoms (fractional coordinates):
H 0.0000 0.5000 0.0000  2 N 1.59
N 0.0000 0.0000 0.0000  2 H 1.59
W 0.5000 0.5000 0.5000  8 Zr 2.83
Zr 0.5000 0.0000 0.0000  2 N 2.34
Zr 0.0000 0.0000 0.5000  2 N 2.34

Record 15
Crystalline Y2HN at its relaxed geometry. Source: Alexandria via LeMat-Bulk, functional GGA-PBE.

Summary:
SG	Fm-3m (225)
VASP energy	-0.4785	Ry per atom
calculated volume	13.7	A^3/atom

Unit cell a=4.2638 b=4.2638 c=4.2638 alpha=60.00 beta=60.00 gamma=60.00
With the nearest neighbours (Å) after each atom.
Atoms (fractional coordinates):
Y 0.7500 0.7500 0.7500  4 N 2.61, 4 H 2.61
Y 0.2500 0.2500 0.2500  4 N 2.61, 4 H 2.61
H 0.0000 0.0000 0.0000  8 Y 2.61
N 0.5000 0.5000 0.5000  8 Y 2.61

Record 16
Crystalline Y4HN3 at its relaxed geometry. Source: Alexandria via LeMat-Bulk, functional GGA-PBE.

Summary:
SG	Cmmm (65)
VASP energy	-0.5978	Ry per atom
calculated volume	14.9	A^3/atom

Unit cell a=3.4889 b=6.0036 c=6.0036 alpha=71.69 beta=90.00 gamma=90.00
With the nearest neighbours (Å) after each atom.
Atoms (fractional coordinates):
Y 0.4999 0.7546 0.2546  5 N 2.39-2.48, 1 H 2.48
Y 0.9999 0.2330 0.2671  4 N 2.39-2.44, 2 H 2.56-2.57
Y 0.9999 0.7671 0.7330  4 N 2.39-2.44, 2 H 2.56
Y 0.5000 0.2455 0.7455  5 N 2.39-2.48, 1 H 2.48
H 0.5001 0.5005 0.9996  6 Y 2.48-2.57
N 0.9999 0.0001 0.0000  6 Y 2.44-2.48
N 0.9999 0.5001 0.5000  6 Y 2.44-2.48
N 0.4999 0.0001 0.5000  6 Y 2.39

Record 17
Crystalline Y2HN at its relaxed geometry. Source: Alexandria via LeMat-Bulk, functional GGA-PBE.

Summary:
SG	I-42d (122)
VASP energy	-0.5135	Ry per atom
calculated volume	17.0	A^3/atom

Unit cell a=5.9087 b=5.9087 c=5.7163 alpha=58.88 beta=58.88 gamma=90.00
With the nearest neighbours (Å) after each atom.
Atoms (fractional coordinates):
N 0.0000 0.0000 0.0000  4 Y 2.28
N 0.7500 0.2500 0.5000  4 Y 2.28
Y 0.3750 0.3684 0.7500  2 N 2.28, 2 H 2.33
Y 0.8750 0.8816 0.7500  2 N 2.28, 2 H 2.33
Y 0.6316 0.1250 0.2500  2 N 2.28, 2 H 2.33
Y 0.1184 0.6250 0.2500  2 N 2.28, 2 H 2.33
H 0.5000 0.5000 0.0000  4 Y 2.33
H 0.2500 0.7500 0.5000  4 Y 2.33

Record 18
Crystalline YH2N at its relaxed geometry. Source: Alexandria via LeMat-Bulk, functional GGA-PBE.

Summary:
SG	I-42d (122)
E above lowest polymorph	0.742	eV per formula unit
VASP energy	-0.3907	Ry per atom
calculated volume	10.3	A^3/atom

Unit cell a=3.4191 b=3.4191 c=7.4514 alpha=76.74 beta=76.74 gamma=90.00
With the nearest neighbours (Å) after each atom.
Atoms (fractional coordinates):
H 0.1767 0.6250 0.2500  2 N 2.07, 2 H 2.18, 2 Y 2.21
H 0.5733 0.1250 0.2500  2 N 2.07, 2 H 2.18, 2 Y 2.21
H 0.8750 0.8233 0.7500  2 N 2.07, 2 H 2.18, 2 Y 2.21
H 0.3750 0.4267 0.7500  2 N 2.07, 2 H 2.18, 2 Y 2.21
N 0.5000 0.5000 0.0000  4 H 2.07
N 0.2500 0.7500 0.5000  4 H 2.07
Y 0.0000 0.0000 0.0000  4 H 2.21, 4 N 2.42
Y 0.7500 0.2500 0.5000  4 H 2.21, 4 N 2.42

Record 19
Crystalline Y2HN at its relaxed geometry. Source: Alexandria via LeMat-Bulk, functional GGA-PBE.

Summary:
SG	R3m (160)
VASP energy	-0.5217	Ry per atom
calculated volume	15.4	A^3/atom

Unit cell a=3.4741 b=3.4741 c=6.2344 alpha=73.82 beta=73.82 gamma=60.00
With the nearest neighbours (Å) after each atom.
Atoms (fractional coordinates):
N 0.6683 0.6683 0.9951  6 Y 2.38-2.42
Y 0.0778 0.0778 0.7665  3 N 2.42, 3 H 2.46
Y 0.2628 0.2628 0.2117  3 N 2.38
H 0.4911 0.4911 0.5267  6 Y 2.46-2.74

Record 20
Crystalline YH3N at its relaxed geometry. Source: Alexandria via LeMat-Bulk, functional GGA-PBE.

Summary:
SG	Pm-3m (221)
E above lowest polymorph	0.000	eV per formula unit
VASP energy	-0.3246	Ry per atom
calculated volume	8.1	A^3/atom

Unit cell a=3.4302 b=3.4302 c=3.4302 alpha=90.00 beta=90.00 gamma=90.00
With the nearest neighbours (Å) after each atom.
Atoms (fractional coordinates):
N 0.0000 0.0000 0.0000  6 H 1.72
Y 0.5000 0.5000 0.5000  12 H 2.43
H 0.5000 0.0000 0.0000  2 N 1.72
H 0.0000 0.5000 0.0000  2 N 1.72
H 0.0000 0.0000 0.5000  2 N 1.72